(1)
## Tl2NiBr6 (GGA-PBE)

Data for Tl2NiBr6 after structural relaxation.

Output
* uncorrected formation energy: -0.4913 eV/atom
* crystal system: cubic
* ΔE to the lowest computed polymorph: 0.0 kJ/mol of atoms
* SG: No. 225

Cell: 7.299 7.299 7.299 Å, 60.00 60.00 60.00°
Element x y z (fractional)
Tl 0.250 0.250 0.250
Tl 0.750 0.750 0.750
Ni 0.000 0.000 0.000
Br 0.234 0.766 0.766
Br 0.234 0.766 0.234
Br 0.766 0.234 0.766
Br 0.766 0.234 0.234
Br 0.766 0.766 0.234
Br 0.234 0.234 0.766

---

(2)
## Sr2TmOs3O12 (GGA-PBE)

Data for Sr2TmOs3O12 after structural relaxation.

Output
* uncorrected formation energy: -1.7162 eV/atom
* crystal system: trigonal
* SG: No. 166

Cell: 6.733 6.733 6.733 Å, 65.95 65.95 65.95°
Site moments in Bohr magnetons follow the coordinates.
Element x y z (fractional)
Sr 0.619 0.619 0.619  0.01
Sr 0.381 0.381 0.381  0.01
Tm 0.000 0.000 0.000  0.07
Os 0.500 0.000 0.000  0.78
Os 0.000 0.500 0.000  0.78
Os 0.000 0.000 0.500  0.78
O 0.285 0.285 0.887  0.05
O 0.867 0.867 0.406  0.10
O 0.406 0.867 0.867  0.10
O 0.887 0.285 0.285  0.05
O 0.867 0.406 0.867  0.10
O 0.285 0.887 0.285  0.05
O 0.715 0.715 0.113  0.05
O 0.133 0.133 0.594  0.10
O 0.594 0.133 0.133  0.10
O 0.113 0.715 0.715  0.05
O 0.133 0.594 0.133  0.10
O 0.715 0.113 0.715  0.05

---

(3)
## Zr2AlPt (GGA-PBE)

Data for Zr2AlPt after structural relaxation.

Output
* crystal system: monoclinic
* SG: No. 6
* energy relative to the elements: -283 kJ/mol of formula units

Cell: 4.240 3.453 5.606 Å, 72.22 90.00 90.00°
Element x y z (fractional)
Zr 0.000 0.970 0.935
Zr 0.500 0.278 0.318
Pt 0.500 0.553 0.770
Al 0.000 0.699 0.476

---

(4)
## Sm2PbCl2 (GGA-PBE)

Data for Sm2PbCl2 after structural relaxation.

Output
* uncorrected formation energy: -1.4167 eV/atom
* crystal system: trigonal
* SG: No. 166

Cell: 4.327 4.327 10.494 Å, 78.10 78.10 60.00°
Element x y z (fractional)
Sm 0.606 0.606 0.183
Sm 0.394 0.394 0.817
Pb 0.000 0.000 0.000
Cl 0.224 0.224 0.328
Cl 0.776 0.776 0.672

---

(5)
## Hf7CdIn3 (GGA-PBE)

Data for Hf7CdIn3 after structural relaxation.

Output
* crystal system: monoclinic
* SG: No. 12
* energy relative to the elements: 285 kJ/mol of formula units

Cell: 5.278 7.573 7.573 Å, 85.05 112.11 112.11°
Element x y z (fractional)
Hf 0.253 0.204 0.204
Hf 0.305 0.014 0.589
Hf 0.695 0.411 0.986
Hf 0.305 0.589 0.014
Hf 0.000 0.500 0.500
Hf 0.695 0.986 0.411
Hf 0.747 0.796 0.796
Cd 0.500 0.500 0.500
In 0.000 0.781 0.219
In 0.500 0.000 0.000
In 0.000 0.219 0.781